The following is a PBE+U calculation of Cr3OsO after structural relaxation, from Alexandria.

Results
crystal system: cubic
E above lowest polymorph: 32.568 kcal/mol of atoms
space group: Pm-3m, No. 221
energy: -6.22 eV per atom

The structure in extended XYZ format:
```
5
Lattice="-1.3157 3.2505 3.3105 -4.6118 -1.2920 -0.5643 0.5066 -3.3198 3.4609" Properties=species:S:1:pos:R:3 pbc="T T T"
O -2.7104 -0.6807 3.1036
Cr -2.3059 -0.6460 -0.2821
Cr -0.6578 1.6252 1.6553
Cr 0.2533 -1.6599 1.7305
Os 0.0000 0.0000 0.0000
```